# GGA-PBE ScPa2PN5, relaxed
# Total moment   0.00 μB/cell
# Calculated total energy   -161.43 eV per cell
data_ScPa2PN5
_cell_length_a 6.587
_cell_length_b 6.587
_cell_length_c 5.294
_cell_angle_alpha 90.00
_cell_angle_beta 90.00
_cell_angle_gamma 90.00
_symmetry_space_group_name_H-M 'P 4/m b m'
_symmetry_Int_Tables_number 127
_symmetry_space_group_name_Hall '-P 4 2ab'
loop_
_atom_site_label
_atom_site_type_symbol
_atom_site_fract_x
_atom_site_fract_y
_atom_site_fract_z
_atom_site_occupancy
Sc1 Sc 0.000 0.000 0.000 1
Pa1 Pa 0.176 0.324 0.500 1
P1 P 0.000 0.500 0.000 1
N1 N 0.000 0.000 0.500 1
N2 N 0.137 0.637 0.234 1